The following is a GGA-PBE calculation of a relaxed structure of CeHPb, from Alexandria via LeMat-Bulk.

POSCAR file:
```
CeHPb
1.0
3.844 0.000 0.000
-1.922 3.329 0.000
0.000 0.000 5.192
Ce H Pb
1 1 1
Direct
0.000 0.000 0.000
0.333 0.667 0.000
0.667 0.333 0.500
```

Summary:
Its space-group type is P-6m2 (187). The relative energy among the computed polymorphs comes out at 0.000 eV/atom. The calculation puts the density of states at the Fermi level at 7.21 states/eV per cell. As for the total magnetization: 0.2775 μB per atom. The value obtained for the volume is 66 Å³/cell. The total energy comes out at -4.73 eV per atom. As for the crystal system: hexagonal.